Arrangement 1

ZnFeSn3 | the Alexandria database | GGA-PBE | optimized geometry; magnetization = 0.52 μB per cell
1.0
4.915 0.000 0.000
0.000 4.915 0.000
0.000 0.000 4.915
Sn Fe Zn
3 1 1
Direct
0.500 0.000 0.000
0.000 0.500 0.000
0.000 0.000 0.500
0.000 0.000 0.000
0.500 0.500 0.500

Arrangement 2

ZnFeSn3 | the Alexandria database | GGA-PBE | optimized geometry; magnetization = 3.22 μB per cell
1.0
-0.591 -3.203 3.954
-3.945 -2.226 -2.393
3.215 -3.321 -2.210
Zn Fe Sn
1 1 3
Direct
0.000 0.000 0.000
0.500 0.500 0.500
0.000 0.500 0.000
0.500 0.000 0.000
0.000 0.000 0.500

Most stable to least stable: arrangement 1, arrangement 2

Arrangement 1

SrTa2Fe | the Alexandria database | GGA-PBE | optimized geometry; magnetization = 1.16 μB per cell
1.0
4.950 0.000 0.000
0.000 4.950 0.000
0.000 0.000 3.071
Ta Sr Fe
2 1 1
Direct
0.500 0.500 0.000
0.000 0.000 0.000
0.000 0.500 0.500
0.500 0.000 0.500

Arrangement 2

SrTa2Fe | the Alexandria database | GGA-PBE | optimized geometry; magnetization = 0.01 μB per cell
1.0
3.958 1.013 2.278
1.295 4.458 0.570
-0.179 1.963 4.242
Sr Ta Fe
1 2 1
Direct
0.500 0.500 0.500
0.750 0.750 0.750
0.250 0.250 0.250
0.000 0.000 0.000

Most stable to least stable: arrangement 2, arrangement 1

Arrangement 1

SrTa2Fe | the Alexandria database | GGA-PBE | optimized geometry; magnetization = 0.00 μB per cell
1.0
-4.909 1.395 6.306
-4.043 -3.524 6.087
6.349 1.804 -4.717
Ta Sr Fe
2 1 1
Direct
0.009 0.009 0.000
0.644 0.144 0.500
0.320 0.820 0.500
0.527 0.527 0.000

Arrangement 2

SrTa2Fe | the Alexandria database | GGA-PBE | optimized geometry; magnetization = 0.60 μB per cell
1.0
5.104 0.016 -0.003
4.076 3.071 -0.003
1.416 0.476 5.991
Sr Fe Ta
1 1 2
Direct
0.226 0.226 0.264
0.477 0.477 0.622
0.772 0.772 0.734
0.025 0.025 0.880

Arrangement 3

SrTa2Fe | the Alexandria database | GGA-PBE | optimized geometry; magnetization = 2.25 μB per cell
1.0
-3.020 2.290 4.465
1.721 -5.597 -0.128
2.392 0.707 1.256
Sr Ta Fe
1 2 1
Direct
0.000 0.500 0.500
0.000 0.000 0.000
0.500 0.500 0.000
0.500 0.000 0.500

Most stable to least stable: arrangement 1, arrangement 2, arrangement 3

Arrangement 1

SrTa2Fe | the Alexandria database | GGA-PBE | optimized geometry; magnetization = 1.40 μB per cell
1.0
2.985 0.000 0.000
0.000 2.985 0.000
0.000 0.000 9.158
Ta Sr Fe
2 1 1
Direct
0.000 0.000 0.077
0.000 0.000 0.423
0.500 0.500 0.750
0.500 0.500 0.250

Arrangement 2

SrTa2Fe | the Alexandria database | GGA-PBE | optimized geometry; magnetization = 3.35 μB per cell
1.0
-2.404 3.107 2.843
-4.487 1.401 -1.190
-3.790 -1.534 2.607
Sr Fe Ta
1 1 2
Direct
0.250 0.250 0.250
0.500 0.500 0.500
0.750 0.750 0.750
0.000 0.000 0.000

Arrangement 3

SrTa2Fe | the Alexandria database | GGA-PBE | optimized geometry; magnetization = 2.00 μB per cell
1.0
-0.687 1.249 4.908
3.640 -1.454 0.879
1.611 3.614 -0.694
Ta Sr Fe
2 1 1
Direct
0.000 0.500 0.500
0.000 0.000 0.000
0.500 0.000 0.500
0.500 0.500 0.000

Arrangement 4

SrTa2Fe | the Alexandria database | GGA-PBE | optimized geometry; magnetization = 1.86 μB per cell
1.0
5.811 -0.049 0.000
3.079 4.928 0.000
-4.445 -2.440 2.839
Sr Fe Ta
1 1 2
Direct
0.750 0.250 0.500
0.250 0.750 0.500
0.500 0.500 0.000
0.000 0.000 0.000

Most stable to least stable: arrangement 1, arrangement 2, arrangement 4, arrangement 3

Arrangement 1

SrTa2Fe | the Alexandria database | GGA-PBE | optimized geometry; magnetization = 1.70 μB per cell
1.0
3.171 0.000 0.000
0.000 4.728 0.000
0.000 0.000 5.375
Sr Ta Fe
1 2 1
Direct
0.000 0.500 0.500
0.000 0.000 0.000
0.500 0.500 0.000
0.500 0.000 0.500

Arrangement 2

SrTa2Fe | the Alexandria database | GGA-PBE | optimized geometry; magnetization = 0.00 μB per cell
1.0
7.382 -0.658 -0.389
6.659 3.254 -0.389
6.659 1.231 3.038
Ta Sr Fe
2 1 1
Direct
0.458 0.458 0.458
0.042 0.042 0.042
0.250 0.250 0.250
0.750 0.750 0.750

Most stable to least stable: arrangement 2, arrangement 1

Arrangement 1

SrTa2Fe | the Alexandria database | GGA-PBE | optimized geometry; magnetization = 0.01 μB per cell
1.0
3.117 0.000 0.000
0.000 3.117 0.000
0.000 0.000 8.499
Ta Sr Fe
2 1 1
Direct
0.500 0.500 0.291
0.000 0.000 0.065
0.500 0.500 0.710
0.000 0.000 0.434

Arrangement 2

SrTa2Fe | the Alexandria database | GGA-PBE | optimized geometry; magnetization = 1.01 μB per cell
1.0
-3.485 1.924 -3.386
-0.419 -4.703 -2.241
-7.974 -3.291 2.305
Ta Fe Sr
4 2 2
Direct
0.375 0.625 0.750
0.875 0.625 0.750
0.375 0.625 0.250
0.375 0.125 0.250
0.500 0.500 0.000
0.250 0.750 0.500
0.750 0.250 0.500
0.000 0.000 0.000

Most stable to least stable: arrangement 1, arrangement 2

Arrangement 1

Sr2TaFe | the Alexandria database | GGA-PBE | optimized geometry; magnetization = 0.00 μB per cell
1.0
-3.616 -0.626 8.865
-6.209 -1.812 7.087
0.963 -3.470 0.909
Fe Sr Ta
1 2 1
Direct
0.250 0.250 0.250
0.599 0.599 0.398
0.901 0.901 0.102
0.750 0.750 0.750

Arrangement 2

Sr2TaFe | the Alexandria database | GGA-PBE | optimized geometry; magnetization = 0.62 μB per cell
1.0
6.135 -0.121 0.000
3.136 5.275 0.000
-4.636 -2.577 3.087
Ta Sr Fe
1 2 1
Direct
0.250 0.750 0.500
0.000 0.000 0.000
0.500 0.500 0.000
0.750 0.250 0.500

Arrangement 3

Sr2TaFe | the Alexandria database | GGA-PBE | optimized geometry; magnetization = 0.00 μB per cell
1.0
4.084 -0.099 0.103
2.108 3.500 0.103
1.941 1.066 9.053
Sr Ta Fe
2 1 1
Direct
0.780 0.780 0.650
0.970 0.970 0.103
0.540 0.540 0.378
0.210 0.210 0.369

Most stable to least stable: arrangement 3, arrangement 1, arrangement 2

Arrangement 1

Sr2TaFe | the Alexandria database | GGA-PBE | optimized geometry; magnetization = 3.75 μB per cell
1.0
5.842 0.000 0.000
0.000 5.842 0.000
0.000 0.000 3.218
Fe Ta Sr
1 1 2
Direct
0.000 0.500 0.500
0.500 0.000 0.500
0.000 0.000 0.000
0.500 0.500 0.000

Arrangement 2

Sr2TaFe | the Alexandria database | GGA-PBE | optimized geometry; magnetization = 3.13 μB per cell
1.0
3.221 0.004 0.000
-0.006 3.221 0.000
0.000 0.000 9.953
Ta Fe Sr
1 1 2
Direct
0.500 0.500 0.250
0.500 0.500 0.750
0.000 0.000 0.516
0.000 0.000 0.984

Arrangement 3

Sr2TaFe | the Alexandria database | GGA-PBE | optimized geometry; magnetization = 0.33 μB per cell
1.0
11.596 0.000 0.000
0.000 11.596 0.000
5.798 5.798 2.243
Sr Ta Fe
4 2 2
Direct
0.375 0.549 0.750
0.451 0.125 0.250
0.875 0.701 0.750
0.299 0.625 0.250
0.000 0.000 0.000
0.750 0.250 0.500
0.500 0.500 0.000
0.250 0.750 0.500

Most stable to least stable: arrangement 3, arrangement 2, arrangement 1

Arrangement 1

Sr2TaFe | the Alexandria database | GGA-PBE | optimized geometry; magnetization = 1.71 μB per cell
1.0
-1.729 -3.279 -4.758
4.632 -2.208 3.171
-2.021 -1.601 1.838
Sr Fe Ta
2 1 1
Direct
0.000 0.000 0.000
0.500 0.500 0.000
0.000 0.500 0.500
0.500 0.000 0.500

Arrangement 2

Sr2TaFe | the Alexandria database | GGA-PBE | optimized geometry; magnetization = 1.71 μB per cell
1.0
5.096 0.000 0.000
0.000 3.173 0.118
0.000 2.920 6.495
Sr Fe Ta
2 1 1
Direct
0.000 0.496 0.505
0.000 0.004 0.995
0.500 0.750 0.750
0.500 0.250 0.250

Arrangement 3

Sr2TaFe | the Alexandria database | GGA-PBE | optimized geometry; magnetization = 0.77 μB per cell
1.0
4.328 0.000 0.000
0.000 4.340 0.000
0.000 0.000 5.316
Fe Sr Ta
1 2 1
Direct
0.000 0.500 0.500
0.000 0.000 0.000
0.500 0.500 0.000
0.500 0.000 0.500

Arrangement 4

Sr2TaFe | the Alexandria database | GGA-PBE | optimized geometry; magnetization = 1.02 μB per cell
1.0
-0.974 -3.205 0.672
2.694 -0.386 2.067
-2.496 2.749 9.494
Ta Fe Sr
1 1 2
Direct
0.000 0.413 0.587
0.500 0.826 0.673
0.000 0.073 0.924
0.500 0.188 0.316

Most stable to least stable: arrangement 4, arrangement 2, arrangement 1, arrangement 3

Arrangement 1

Sr2TaFe | the Alexandria database | GGA-PBE | optimized geometry; magnetization = 0.09 μB per cell
1.0
-0.098 -6.428 -0.080
5.665 -3.019 -0.357
-3.921 3.912 3.264
Sr Fe Ta
2 1 1
Direct
0.739 0.239 0.500
0.041 0.041 0.000
0.292 0.792 0.500
0.428 0.428 0.000

Arrangement 2

Sr2TaFe | the Alexandria database | GGA-PBE | optimized geometry; magnetization = 0.28 μB per cell
1.0
5.238 0.060 0.000
-0.056 5.238 0.000
-2.591 -2.649 3.703
Sr Ta Fe
2 1 1
Direct
0.000 0.000 0.000
0.250 0.750 0.500
0.500 0.500 0.000
0.750 0.250 0.500

Most stable to least stable: arrangement 1, arrangement 2

Arrangement 1

Sr2TaFe | the Alexandria database | GGA-PBE | optimized geometry; magnetization = 2.57 μB per cell
1.0
-2.713 -4.112 -9.762
0.066 -5.832 -9.249
-2.801 -6.910 -7.999
Sr Fe Ta
2 1 1
Direct
0.004 0.004 0.004
0.496 0.496 0.496
0.750 0.750 0.750
0.250 0.250 0.250

Arrangement 2

Sr2TaFe | the Alexandria database | GGA-PBE | optimized geometry; magnetization = 0.00 μB per cell
1.0
0.000 3.728 3.728
3.728 0.000 3.728
3.728 3.728 0.000
Fe Sr Ta
1 2 1
Direct
0.000 0.000 0.000
0.750 0.750 0.750
0.250 0.250 0.250
0.500 0.500 0.500

Most stable to least stable: arrangement 1, arrangement 2